Entry 1:
# BeCdSe4, relaxed, DFT GGA-PBE
data_BeCdSe4
_chemical_formula_sum 'Be4 Cd4 Se16'
_symmetry_space_group_name_H-M 'F -4 3 m'
_symmetry_Int_Tables_number 216
_symmetry_space_group_name_Hall 'F -4 2 3'
_cell_length_a 8.1012
_cell_length_b 8.1012
_cell_length_c 8.1012
_cell_angle_alpha 90.00
_cell_angle_beta 90.00
_cell_angle_gamma 90.00
loop_
_atom_site_label
_atom_site_type_symbol
_atom_site_fract_x
_atom_site_fract_y
_atom_site_fract_z
_atom_site_occupancy
Be1 Be 0.0000 0.0000 0.0000 1
Cd1 Cd 0.2500 0.2500 0.7500 1
Se1 Se 0.1256 0.1256 0.3744 1
# D(E_F) = 0.48 states/eV per atom

Entry 2:
# BeCdSe2, relaxed, DFT GGA-PBE
data_BeCdSe2
_chemical_formula_sum 'Be3 Cd3 Se6'
_symmetry_space_group_name_H-M 'R 3 m'
_symmetry_Int_Tables_number 160
_symmetry_space_group_name_Hall 'R 3 -2"'
_cell_length_a 3.9871
_cell_length_b 3.9871
_cell_length_c 20.1779
_cell_angle_alpha 90.00
_cell_angle_beta 90.00
_cell_angle_gamma 120.00
loop_
_atom_site_label
_atom_site_type_symbol
_atom_site_fract_x
_atom_site_fract_y
_atom_site_fract_z
_atom_site_occupancy
Be1 Be 0.0000 0.0000 0.0000 1
Cd1 Cd 0.0000 0.0000 0.5035 1
Se1 Se 0.0000 0.0000 0.1092 1
Se2 Se 0.0000 0.0000 0.6343 1
# Energy relative to the lowest polymorph listed for this composition = 0.1005 eV/atom
# D(E_F) = 0.00 states/eV per atom

Entry 3:
# BeCd2Se, relaxed, DFT GGA-PBE
data_BeCd2Se
_chemical_formula_sum 'Be1 Cd2 Se1'
_symmetry_space_group_name_H-M 'P 4/m m m'
_symmetry_Int_Tables_number 123
_symmetry_space_group_name_Hall '-P 4 2'
_cell_length_a 3.0257
_cell_length_b 3.0257
_cell_length_c 8.3775
_cell_angle_alpha 90.00
_cell_angle_beta 90.00
_cell_angle_gamma 90.00
loop_
_atom_site_label
_atom_site_type_symbol
_atom_site_fract_x
_atom_site_fract_y
_atom_site_fract_z
_atom_site_occupancy
Be1 Be 0.0000 0.0000 0.0000 1
Cd1 Cd 0.5000 0.5000 0.1976 1
Se1 Se 0.0000 0.0000 0.5000 1
# Energy relative to the lowest polymorph listed for this composition = 0.3437 eV/atom
# D(E_F) = 0.56 states/eV per atom

Entry 4:
# Be2CdSe, relaxed, DFT GGA-PBE
data_Be2CdSe
_chemical_formula_sum 'Be2 Cd1 Se1'
_symmetry_space_group_name_H-M 'P m m m'
_symmetry_Int_Tables_number 47
_cell_length_a 2.7437
_cell_length_b 3.2867
_cell_length_c 7.0405
_cell_angle_alpha 90.00
_cell_angle_beta 90.00
_cell_angle_gamma 90.00
loop_
_symmetry_equiv_pos_as_xyz
'x,y,z'
'-x,-y,-z'
'-x,-y,z'
'x,y,-z'
'x,-y,-z'
'-x,y,z'
'-x,y,-z'
'x,-y,z'
loop_
_atom_site_label
_atom_site_type_symbol
_atom_site_fract_x
_atom_site_fract_y
_atom_site_fract_z
_atom_site_occupancy
Be1 Be 0.0000 0.0000 0.2446 1
Cd1 Cd 0.5000 0.5000 0.5000 1
Se1 Se 0.0000 0.5000 0.0000 1
# Energy relative to the lowest polymorph listed for this composition = 0.2717 eV/atom
# D(E_F) = 0.43 states/eV per atom

Entry 5:
# BeCd2Se, relaxed, DFT GGA-PBE
data_BeCd2Se
_chemical_formula_sum 'Be2 Cd4 Se2'
_symmetry_space_group_name_H-M 'C 1 2/m 1'
_symmetry_Int_Tables_number 12
_cell_length_a 5.3889
_cell_length_b 8.0960
_cell_length_c 3.7116
_cell_angle_alpha 90.00
_cell_angle_beta 90.36
_cell_angle_gamma 90.00
loop_
_symmetry_equiv_pos_as_xyz
'x,y,z'
'-x,-y,-z'
'-x,y,-z'
'x,-y,z'
'x+1/2,y+1/2,z'
'-x+1/2,-y+1/2,-z'
'-x+1/2,y+1/2,-z'
'x+1/2,-y+1/2,z'
loop_
_atom_site_label
_atom_site_type_symbol
_atom_site_fract_x
_atom_site_fract_y
_atom_site_fract_z
_atom_site_occupancy
Be1 Be 0.0000 0.0000 0.0000 1
Cd1 Cd 0.2500 0.2500 0.5000 1
Se1 Se 0.0000 0.5000 0.0000 1
# Energy relative to the lowest polymorph listed for this composition = 0.3252 eV/atom
# D(E_F) = 0.38 states/eV per atom

Entry 6:
# Be2CdSe, relaxed, DFT GGA-PBE
data_Be2CdSe
_chemical_formula_sum 'Be4 Cd2 Se2'
_symmetry_space_group_name_H-M 'I m m m'
_symmetry_Int_Tables_number 71
_symmetry_space_group_name_Hall '-I 2 2'
_cell_length_a 3.1924
_cell_length_b 6.3546
_cell_length_c 7.4774
_cell_angle_alpha 90.00
_cell_angle_beta 90.00
_cell_angle_gamma 90.00
loop_
_atom_site_label
_atom_site_type_symbol
_atom_site_fract_x
_atom_site_fract_y
_atom_site_fract_z
_atom_site_occupancy
Be1 Be 0.0000 0.0000 0.2140 1
Cd1 Cd 0.0000 0.5000 0.0000 1
Se1 Se 0.0000 0.5000 0.5000 1
# Energy relative to the lowest polymorph listed for this composition = 0.3554 eV/atom
# D(E_F) = 0.40 states/eV per atom

Entry 7:
# Be2CdSe, relaxed, DFT GGA-PBE
data_Be2CdSe
_chemical_formula_sum 'Be2 Cd1 Se1'
_symmetry_space_group_name_H-M 'P m m m'
_symmetry_Int_Tables_number 47
_cell_length_a 3.3908
_cell_length_b 3.3987
_cell_length_c 6.2165
_cell_angle_alpha 90.00
_cell_angle_beta 90.00
_cell_angle_gamma 90.00
loop_
_symmetry_equiv_pos_as_xyz
'x,y,z'
'-x,-y,-z'
'-x,-y,z'
'x,y,-z'
'x,-y,-z'
'-x,y,z'
'-x,y,-z'
'x,-y,z'
loop_
_atom_site_label
_atom_site_type_symbol
_atom_site_fract_x
_atom_site_fract_y
_atom_site_fract_z
_atom_site_occupancy
Be1 Be 0.0000 0.0000 0.0000 1
Be2 Be 0.0000 0.5000 0.5000 1
Cd1 Cd 0.5000 0.0000 0.5000 1
Se1 Se 0.5000 0.5000 0.0000 1
# Energy relative to the lowest polymorph listed for this composition = 0.3518 eV/atom
# D(E_F) = 0.30 states/eV per atom

Entry 8:
# BeCdSe2, relaxed, DFT GGA-PBE
data_BeCdSe2
_chemical_formula_sum 'Be1 Cd1 Se2'
_symmetry_space_group_name_H-M 'P 4/m m m'
_symmetry_Int_Tables_number 123
_symmetry_space_group_name_Hall '-P 4 2'
_cell_length_a 3.2296
_cell_length_b 3.2296
_cell_length_c 7.4726
_cell_angle_alpha 90.00
_cell_angle_beta 90.00
_cell_angle_gamma 90.00
loop_
_atom_site_label
_atom_site_type_symbol
_atom_site_fract_x
_atom_site_fract_y
_atom_site_fract_z
_atom_site_occupancy
Be1 Be 0.0000 0.0000 0.0000 1
Cd1 Cd 0.0000 0.0000 0.5000 1
Se1 Se 0.5000 0.5000 0.1794 1
# Energy relative to the lowest polymorph listed for this composition = 0.9514 eV/atom
# D(E_F) = 0.53 states/eV per atom

| no. | formation energy from raw total energies (meV/atom) | spin magnetization (μB per cell) |
| --- | --- | --- |
| 1 | 758 | 0.0 |
| 2 | -585 | 0.0 |
| 3 | 327 | 0.0 |
| 4 | 372 | 0.0 |
| 5 | 308 | 0.0 |
| 6 | 455 | 0.0 |
| 7 | 452 | 0.0 |
| 8 | 266 | 0.0 |